1.
VASP calculation (PBE) on crystalline Sr4Cl5 at its relaxed geometry.

Cell lengths 8.238, 8.238, 8.238 Å; angles 94.11, 94.11, 148.96 degrees
Positions (direct):
Sr: 0.000 0.265 0.265
Sr: 0.000 0.735 0.735
Sr: 0.265 0.000 0.265
Sr: 0.735 0.000 0.735
Cl: 0.000 0.000 0.000
Cl: 0.328 0.328 0.655
Cl: 0.328 0.672 0.000
Cl: 0.672 0.328 0.000
Cl: 0.672 0.672 0.345

Values from the calculation:
**Distance to the lowest polymorph of the same formula**: 0.0000 eV/atom
**DFT total energy**: -3.647 eV per atom

***

2.
VASP calculation (PBE) on crystalline SrCl5 at its relaxed geometry.

Cell lengths 5.563, 5.563, 5.755 Å; angles 90.00, 90.00, 120.00 degrees
Positions (direct):
Sr: 0.000 0.000 0.000
Cl: 0.000 0.715 0.500
Cl: 0.285 0.285 0.500
Cl: 0.333 0.667 0.000
Cl: 0.667 0.333 0.000
Cl: 0.715 0.000 0.500

Values from the calculation:
**Distance to the lowest polymorph of the same formula**: 0.3489 eV/atom
**DFT total energy**: -2.559 eV per atom

***

3.
VASP calculation (PBE) on crystalline Sr5Cl3 at its relaxed geometry.

Cell lengths 10.111, 10.111, 7.678 Å; angles 90.00, 90.00, 120.00 degrees
Positions (direct):
Sr: 0.000 0.228 0.250
Sr: 0.000 0.772 0.750
Sr: 0.228 0.000 0.250
Sr: 0.228 0.228 0.750
Sr: 0.333 0.667 0.000
Sr: 0.333 0.667 0.500
Sr: 0.667 0.333 0.000
Sr: 0.667 0.333 0.500
Sr: 0.772 0.000 0.750
Sr: 0.772 0.772 0.250
Cl: 0.000 0.491 0.750
Cl: 0.000 0.509 0.250
Cl: 0.491 0.000 0.750
Cl: 0.491 0.491 0.250
Cl: 0.509 0.000 0.250
Cl: 0.509 0.509 0.750

Values from the calculation:
**DFT total energy**: -2.688 eV per atom

***

4.
VASP calculation (PBE) on crystalline SrCl5 at its relaxed geometry.

Cell lengths 4.520, 4.520, 12.942 Å; angles 103.28, 103.28, 59.82 degrees
Positions (direct):
Sr: 0.000 0.000 0.000
Cl: 0.175 0.175 0.641
Cl: 0.282 0.282 0.336
Cl: 0.293 0.293 0.506
Cl: 0.381 0.381 0.109
Cl: 0.620 0.620 0.892

Values from the calculation:
**Distance to the lowest polymorph of the same formula**: 0.0000 eV/atom
**DFT total energy**: -2.907 eV per atom

***

5.
VASP calculation (PBE) on crystalline SrCl2 at its relaxed geometry.

Cell lengths 14.590, 14.590, 14.590 Å; angles 165.38, 165.38, 20.74 degrees
Positions (direct):
Sr: 0.375 0.625 0.750
Sr: 0.625 0.375 0.250
Cl: 0.069 0.819 0.250
Cl: 0.181 0.931 0.250
Cl: 0.819 0.069 0.750
Cl: 0.931 0.181 0.750

Values from the calculation:
**DFT total energy**: -4.042 eV per atom

***

6.
VASP calculation (PBE) on crystalline SrCl2 at its relaxed geometry.

Cell lengths 4.983, 4.983, 4.983 Å; angles 120.07, 119.91, 90.02 degrees
Positions (direct):
Sr: 0.000 0.000 0.000
Cl: 0.250 0.750 0.500
Cl: 0.750 0.250 0.500

Values from the calculation:
**DFT total energy**: -4.281 eV per atom

***

7.
VASP calculation (PBE) on crystalline SrCl2 at its relaxed geometry.

Cell lengths 6.797, 6.797, 16.232 Å; angles 90.00, 90.00, 120.00 degrees
Positions (direct):
Sr: 0.333 0.667 0.138
Sr: 0.333 0.667 0.362
Sr: 0.667 0.333 0.638
Sr: 0.667 0.333 0.862
Cl: 0.000 0.000 0.000
Cl: 0.000 0.000 0.500
Cl: 0.162 0.324 0.250
Cl: 0.162 0.838 0.250
Cl: 0.324 0.162 0.750
Cl: 0.676 0.838 0.250
Cl: 0.838 0.162 0.750
Cl: 0.838 0.676 0.750

Values from the calculation:
**DFT total energy**: -3.545 eV per atom

***

8.
VASP calculation (PBE) on crystalline SrCl2 at its relaxed geometry.

Cell lengths 7.196, 7.196, 7.196 Å; angles 90.00, 90.00, 90.00 degrees
Positions (direct):
Sr: 0.000 0.000 0.000
Sr: 0.000 0.500 0.500
Sr: 0.500 0.000 0.500
Sr: 0.500 0.500 0.000
Cl: 0.166 0.666 0.834
Cl: 0.166 0.834 0.334
Cl: 0.334 0.166 0.834
Cl: 0.334 0.334 0.334
Cl: 0.666 0.666 0.666
Cl: 0.666 0.834 0.166
Cl: 0.834 0.166 0.666
Cl: 0.834 0.334 0.166

Values from the calculation:
**DFT total energy**: -4.248 eV per atom

***

| no. | formation energy from raw total energies (eV/f.u.) |
| --- | --- |
| 1 | -16.9 |
| 2 | -4.4 |
| 3 | -7.6 |
| 4 | -6.5 |
| 5 | -6.7 |
| 6 | -7.5 |
| 7 | -5.3 |
| 8 | -7.4 |